No. 1
! PBE Zr2BeHPd, relaxed; values from VASP
&SYSTEM
  ibrav = 0, nat = 5, ntyp = 4
/
ATOMIC_SPECIES
Be 9.01 Be.upf
Zr 91.22 Zr.upf
Pd 106.42 Pd.upf
H 1.01 H.upf
CELL_PARAMETERS angstrom
-3.091 -1.886 2.485
2.199 -3.799 -0.148
1.871 0.964 3.058
ATOMIC_POSITIONS angstrom
Be 0.935 0.482 1.529
Zr 1.099 -1.899 -0.074
Zr -1.545 -0.943 1.243
Pd 0.489 -2.360 2.697
H 0.000 0.000 0.000
! Total energy in eV per cell: -30.8
! Crystal system: tetragonal


No. 2
! PBE PmBeH, relaxed; values from VASP
&SYSTEM
  ibrav = 0, nat = 12, ntyp = 3
/
ATOMIC_SPECIES
Be 9.01 Be.upf
H 1.01 H.upf
Pm 145.00 Pm.upf
CELL_PARAMETERS angstrom
-2.916 2.484 0.435
0.190 -1.468 -7.567
-4.254 -5.149 0.892
ATOMIC_POSITIONS angstrom
Be -0.601 -1.573 -3.651
Be -4.180 -2.905 -2.963
Be -6.379 -2.560 -2.590
Be -2.799 -1.227 -3.278
H -3.332 -0.188 -4.244
H -5.106 -2.703 -1.779
H -3.648 -3.945 -1.997
H -1.873 -1.429 -4.461
Pm -1.052 0.513 -1.511
Pm -2.434 -3.423 -5.374
Pm -5.927 -4.645 -4.730
Pm -4.546 -0.709 -0.866
! Total energy in eV per cell: -48.7
! Crystal system: monoclinic


No. 3
! PBE PmBe2H6, relaxed; values from VASP
&SYSTEM
  ibrav = 0, nat = 18, ntyp = 3
/
ATOMIC_SPECIES
Pm 145.00 Pm.upf
Be 9.01 Be.upf
H 1.01 H.upf
CELL_PARAMETERS angstrom
6.342 -0.620 1.706
1.833 3.231 2.217
0.486 -0.620 6.550
ATOMIC_POSITIONS angstrom
Pm 6.398 1.804 4.459
Pm 2.263 0.188 6.013
Be 3.481 1.483 3.285
Be 7.005 2.124 7.546
Be 5.181 0.508 7.188
Be 1.657 -0.132 2.927
H 3.002 0.108 3.476
H 4.894 0.268 5.763
H 5.659 1.884 6.997
H 3.767 1.723 4.709
H 2.878 2.711 6.373
H 3.858 0.896 7.558
H 5.783 -0.719 4.099
H 4.803 1.095 2.915
H 2.490 2.412 2.764
H 7.330 1.195 8.616
H 6.171 -0.420 7.708
H 1.331 0.796 1.856
! Crystal system: monoclinic
! Distance to the lowest polymorph of the same formula in meV/atom: 41.9


Q: Which formula does entry 2 have?
A: PmBeH